# 1
First-principles (PBE-GGA) data for Li4CuPd2 after structural relaxation, as listed in Alexandria via LeMat-Bulk.

Values from the calculation:
Total magnetization in μB per formula unit: 0.000
Energy above the lowest structure with this stoichiometry in meV per atom: 87
Uncorrected energy in Ha/atom: -0.120
Space-group type: No. 64

a = 5.0205 Å, b = 8.2805 Å, c = 6.1468 Å
α = 132.34°, β = 90.00°, γ = 90.00°
Closest atoms and distances in Å follow each position.
Element x y z (fractional)
1 Li 0.7500 0.0000 0.5000  4 Li 2.27-2.51
2 Li 0.2513 0.7504 0.0000  4 Li 2.27-2.51, 2 Cu 2.42
3 Li 0.2500 0.0000 0.5000  4 Li 2.27-2.51
4 Li 0.2487 0.2504 0.0000  4 Li 2.27-2.51, 2 Cu 2.42
5 Li 0.7487 0.2496 0.0000  4 Li 2.27-2.51, 2 Cu 2.42
6 Li 0.2500 0.5000 0.5000  4 Li 2.27-2.51
7 Li 0.7500 0.5000 0.5000  4 Li 2.27-2.51
8 Li 0.7513 0.7496 0.0000  4 Li 2.27-2.51, 2 Cu 2.42
9 Pd 0.5000 0.1544 0.3088  8 Li 2.57-2.80, 1 Pd 2.81, 2 Cu 2.88
10 Pd 0.0000 0.3456 0.6912  8 Li 2.57-2.80, 1 Pd 2.81, 2 Cu 2.88
11 Pd 0.0000 0.6544 0.3088  8 Li 2.57-2.80, 1 Pd 2.81, 2 Cu 2.88
12 Pd 0.5000 0.8456 0.6912  8 Li 2.57-2.80, 1 Pd 2.81, 2 Cu 2.88
13 Cu 0.0000 0.0000 0.0000  4 Li 2.42
14 Cu 0.5000 0.5000 0.0000  4 Li 2.42

# 2
First-principles (PBE-GGA) data for Li2CuPd6 after structural relaxation, as listed in Alexandria via LeMat-Bulk.

Values from the calculation:
Total magnetization in μB per formula unit: 0.000
Energy above the lowest structure with this stoichiometry in meV per atom: 87
Uncorrected energy in Ha/atom: -0.156
Space-group type: No. 12

a = 4.0347 Å, b = 5.7487 Å, c = 7.0468 Å
α = 114.07°, β = 106.75°, γ = 90.00°
Closest atoms and distances in Å follow each position.
Element x y z (fractional)
1 Cu 0.0000 0.0000 0.0000  8 Pd 2.51-2.52
2 Li 0.3327 0.3320 0.6640  8 Pd 2.47-2.48
3 Li 0.6673 0.6680 0.3360  8 Pd 2.47-2.48
4 Pd 0.8320 0.0846 0.6632  3 Li 2.47, 1 Cu 2.52
5 Pd 0.8320 0.5786 0.6632  3 Li 2.47, 1 Cu 2.52
6 Pd 0.1680 0.4214 0.3368  3 Li 2.47, 1 Cu 2.52
7 Pd 0.1680 0.9154 0.3368  3 Li 2.47, 1 Cu 2.52
8 Pd 0.5000 0.7413 0.0000  2 Li 2.48, 2 Cu 2.51
9 Pd 0.5000 0.2586 0.0000  2 Li 2.48, 2 Cu 2.51

# 3
First-principles (PBE-GGA) data for Li2Cu2Pd3 after structural relaxation, as listed in Alexandria via LeMat-Bulk.

Values from the calculation:
Total magnetization in μB per formula unit: 0.000
Energy above the lowest structure with this stoichiometry in meV per atom: 0
Uncorrected energy in Ha/atom: -0.150
Space-group type: No. 199

a = 6.2962 Å, b = 6.2962 Å, c = 6.2962 Å
α = 109.47°, β = 109.47°, γ = 109.47°
Closest atoms and distances in Å follow each position.
Element x y z (fractional)
1 Cu 0.6952 0.1952 0.1952  1 Li 2.56, 6 Pd 2.63-2.72, 3 Cu 2.63
2 Cu 0.8048 0.5000 0.0000  1 Li 2.56, 6 Pd 2.63-2.72, 3 Cu 2.63
3 Cu 0.0000 0.0000 0.3048  1 Li 2.56, 6 Pd 2.63-2.72, 3 Cu 2.63
4 Cu 0.5000 0.3048 0.5000  1 Li 2.56, 6 Pd 2.63-2.72, 3 Cu 2.63
5 Pd 0.1748 0.4248 0.2500  4 Li 2.39-2.49, 2 Cu 2.63
6 Pd 0.5752 0.7500 0.8252  4 Li 2.39-2.49, 2 Cu 2.63
7 Pd 0.3252 0.0752 0.7500  4 Li 2.39-2.49, 2 Cu 2.63
8 Pd 0.9248 0.2500 0.6748  4 Li 2.39-2.49, 2 Cu 2.63
9 Pd 0.2500 0.8252 0.0752  4 Li 2.39-2.49, 2 Cu 2.63
10 Pd 0.7500 0.6748 0.4248  4 Li 2.39-2.49, 2 Cu 2.63
11 Li 0.5000 0.8987 0.5000  6 Pd 2.39-2.49, 1 Cu 2.56
12 Li 0.3987 0.5000 0.0000  6 Pd 2.39-2.49, 1 Cu 2.56
13 Li 0.1013 0.6013 0.6013  6 Pd 2.39-2.49, 1 Cu 2.56
14 Li 0.0000 0.0000 0.8987  6 Pd 2.39-2.49, 1 Cu 2.56

# 4
First-principles (PBE-GGA) data for LiCu12Pd6 after structural relaxation, as listed in Alexandria via LeMat-Bulk.

Values from the calculation:
Total magnetization in μB per formula unit: 0.000
Uncorrected energy in Ha/atom: -0.160
Space-group type: No. 148

a = 6.7803 Å, b = 6.7803 Å, c = 6.7803 Å
α = 106.35°, β = 106.35°, γ = 106.35°
Closest atoms and distances in Å follow each position.
Element x y z (fractional)
1 Cu 0.1868 0.5918 0.4805  6 Cu 2.46-2.61, 4 Pd 2.54-2.68
2 Cu 0.5195 0.8132 0.4082  6 Cu 2.46-2.61, 4 Pd 2.54-2.68
3 Cu 0.2788 0.1416 0.8368  3 Cu 2.46-2.60, 1 Li 2.54, 5 Pd 2.59-2.70
4 Cu 0.8132 0.4082 0.5195  6 Cu 2.46-2.61, 4 Pd 2.54-2.68
5 Cu 0.7212 0.8584 0.1632  3 Cu 2.46-2.60, 1 Li 2.54, 5 Pd 2.59-2.70
6 Cu 0.1416 0.8368 0.2788  3 Cu 2.46-2.60, 1 Li 2.54, 5 Pd 2.59-2.70
7 Cu 0.8584 0.1632 0.7212  3 Cu 2.46-2.60, 1 Li 2.54, 5 Pd 2.59-2.70
8 Cu 0.5918 0.4805 0.1868  6 Cu 2.46-2.61, 4 Pd 2.54-2.68
9 Cu 0.4082 0.5195 0.8132  6 Cu 2.46-2.61, 4 Pd 2.54-2.68
10 Cu 0.4805 0.1868 0.5918  6 Cu 2.46-2.61, 4 Pd 2.54-2.68
11 Cu 0.1632 0.7212 0.8584  3 Cu 2.46-2.60, 1 Li 2.54, 5 Pd 2.59-2.70
12 Cu 0.8368 0.2788 0.1416  3 Cu 2.46-2.60, 1 Li 2.54, 5 Pd 2.59-2.70
13 Pd 0.0822 0.1942 0.4604  9 Cu 2.54-2.70, 1 Pd 2.82, 1 Li 2.84
14 Pd 0.5396 0.9178 0.8058  9 Cu 2.54-2.70, 1 Pd 2.82, 1 Li 2.84
15 Pd 0.4604 0.0822 0.1942  9 Cu 2.54-2.70, 1 Pd 2.82, 1 Li 2.84
16 Pd 0.8058 0.5396 0.9178  9 Cu 2.54-2.70, 1 Pd 2.82, 1 Li 2.84
17 Pd 0.9178 0.8058 0.5396  9 Cu 2.54-2.70, 1 Pd 2.82, 1 Li 2.84
18 Pd 0.1942 0.4604 0.0822  9 Cu 2.54-2.70, 1 Pd 2.82, 1 Li 2.84
19 Li 0.0000 0.0000 0.0000  6 Cu 2.54, 6 Pd 2.84

# 5
First-principles (PBE-GGA) data for Li5CuPd4 after structural relaxation, as listed in Alexandria via LeMat-Bulk.

Values from the calculation:
Total magnetization in μB per formula unit: 0.000
Energy above the lowest structure with this stoichiometry in meV per atom: 20
Uncorrected energy in Ha/atom: -0.139
Space-group type: No. 123

a = 3.0300 Å, b = 3.0300 Å, c = 14.5155 Å
α = 90.00°, β = 90.00°, γ = 90.00°
Closest atoms and distances in Å follow each position.
Element x y z (fractional)
1 Li 0.5000 0.5000 0.7029  8 Pd 2.59-2.62, 1 Li 2.88
2 Li 0.5000 0.5000 0.2971  8 Pd 2.59-2.62, 1 Li 2.88
3 Li 0.5000 0.5000 0.5000  8 Pd 2.61
4 Li 0.5000 0.5000 0.9016  4 Pd 2.54, 4 Cu 2.57
5 Li 0.5000 0.5000 0.0984  4 Pd 2.54, 4 Cu 2.57
6 Pd 0.0000 0.0000 0.6022  8 Li 2.59-2.61
7 Pd 0.0000 0.0000 0.8073  8 Li 2.54-2.62, 1 Cu 2.80
8 Pd 0.0000 0.0000 0.3978  8 Li 2.59-2.61
9 Pd 0.0000 0.0000 0.1927  8 Li 2.54-2.62, 1 Cu 2.80
10 Cu 0.0000 0.0000 0.0000  8 Li 2.57, 2 Pd 2.80

# 6
First-principles (PBE-GGA) data for Li8Cu2Pd after structural relaxation, as listed in Alexandria via LeMat-Bulk.

Values from the calculation:
Total magnetization in μB per formula unit: 0.000
Energy above the lowest structure with this stoichiometry in meV per atom: 0
Uncorrected energy in Ha/atom: -0.100
Space-group type: No. 12

a = 3.9790 Å, b = 5.9028 Å, c = 7.3889 Å
α = 101.07°, β = 105.62°, γ = 90.00°
Closest atoms and distances in Å follow each position.
Element x y z (fractional)
1 Li 0.4024 0.5478 0.8049  3 Cu 2.57-2.78, 5 Li 2.64-2.83, 1 Pd 2.75
2 Li 0.6831 0.9065 0.3663  8 Li 2.72-2.82, 1 Pd 2.77, 3 Cu 2.78-2.82
3 Li 0.3169 0.0935 0.6337  8 Li 2.72-2.82, 1 Pd 2.77, 3 Cu 2.78-2.82
4 Li 0.0492 0.7490 0.0985  2 Pd 2.66, 8 Li 2.67-2.96, 1 Cu 2.83
5 Li 0.8622 0.8070 0.7244  3 Cu 2.60-2.81, 7 Li 2.64-2.77, 2 Pd 2.87
6 Li 0.9508 0.2510 0.9016  2 Pd 2.66, 8 Li 2.67-2.96, 1 Cu 2.83
7 Li 0.1378 0.1930 0.2756  3 Cu 2.60-2.81, 7 Li 2.64-2.77, 2 Pd 2.87
8 Li 0.5976 0.4522 0.1951  3 Cu 2.57-2.78, 5 Li 2.64-2.83, 1 Pd 2.75
9 Pd 0.5000 0.0000 0.0000  12 Li 2.66-2.87
10 Cu 0.7699 0.3802 0.5397  2 Cu 2.57, 10 Li 2.57-2.83
11 Cu 0.2301 0.6198 0.4603  2 Cu 2.57, 10 Li 2.57-2.83

Please write out number 1 again, unchanged.
First-principles (PBE-GGA) data for Li4CuPd2 after structural relaxation, as listed in Alexandria via LeMat-Bulk.

Values from the calculation:
Total magnetization in μB per formula unit: 0.000
Energy above the lowest structure with this stoichiometry in meV per atom: 87
Uncorrected energy in Ha/atom: -0.120
Space-group type: No. 64

a = 5.0205 Å, b = 8.2805 Å, c = 6.1468 Å
α = 132.34°, β = 90.00°, γ = 90.00°
Closest atoms and distances in Å follow each position.
Element x y z (fractional)
1 Li 0.7500 0.0000 0.5000  4 Li 2.27-2.51
2 Li 0.2513 0.7504 0.0000  4 Li 2.27-2.51, 2 Cu 2.42
3 Li 0.2500 0.0000 0.5000  4 Li 2.27-2.51
4 Li 0.2487 0.2504 0.0000  4 Li 2.27-2.51, 2 Cu 2.42
5 Li 0.7487 0.2496 0.0000  4 Li 2.27-2.51, 2 Cu 2.42
6 Li 0.2500 0.5000 0.5000  4 Li 2.27-2.51
7 Li 0.7500 0.5000 0.5000  4 Li 2.27-2.51
8 Li 0.7513 0.7496 0.0000  4 Li 2.27-2.51, 2 Cu 2.42
9 Pd 0.5000 0.1544 0.3088  8 Li 2.57-2.80, 1 Pd 2.81, 2 Cu 2.88
10 Pd 0.0000 0.3456 0.6912  8 Li 2.57-2.80, 1 Pd 2.81, 2 Cu 2.88
11 Pd 0.0000 0.6544 0.3088  8 Li 2.57-2.80, 1 Pd 2.81, 2 Cu 2.88
12 Pd 0.5000 0.8456 0.6912  8 Li 2.57-2.80, 1 Pd 2.81, 2 Cu 2.88
13 Cu 0.0000 0.0000 0.0000  4 Li 2.42
14 Cu 0.5000 0.5000 0.0000  4 Li 2.42

Which formula does entry 1 have? Li4CuPd2